1.
# FeWAu2

FeWAu2 at its PBEsol-relaxed geometry (SCAN, the Alexandria database).

Results
Formation energy in eV per atom: 0.226
SG: No. 123
Energy relative to the lowest polymorph listed for this composition in meV/atom: 21

a b c (Å): 2.752 2.752 8.021
angles (deg): 90.00 90.00 90.00
Site moments in Bohr magnetons follow the coordinates.
Positions (direct):
Au: 0.000 0.000 0.762  0.01
Au: 0.000 0.000 0.238  0.01
Fe: 0.500 0.500 0.000  3.20
W: 0.500 0.500 0.500  -0.01


2.
# YTeO2F

YTeO2F at its PBEsol-relaxed geometry (SCAN, the Alexandria database).

Results
SG: No. 123
Formation energy without anion corrections in meV per atom: -1963

a b c (Å): 4.175 4.411 4.411
angles (deg): 90.00 90.00 90.00
Positions (direct):
Y: 0.000 0.000 0.000
Te: 0.500 0.500 0.500
O: 0.000 0.000 0.500
O: 0.000 0.500 0.000
F: 0.500 0.000 0.000


3.
# MnSe

MnSe at its PBEsol-relaxed geometry (SCAN, the Alexandria database).

Results
SG: No. 194
Formation energy without anion corrections in meV per atom: -737

a b c (Å): 3.759 3.759 5.665
angles (deg): 90.00 90.00 120.00
Site moments in Bohr magnetons follow the coordinates.
Positions (direct):
Mn: 0.000 0.000 0.000  4.13
Mn: 0.000 0.000 0.500  4.13
Se: 0.667 0.333 0.750  0.07
Se: 0.333 0.667 0.250  0.07


| no. | density of states at the Fermi level (states/eV/f.u.) |
| --- | --- |
| 1 | 2.65 |
| 2 | 2.26 |
| 3 | 0.93 |